PmPrNdY: optimized geometry, PBE-GGA.

Structure (extended XYZ):
```
4
Lattice="-5.044 -1.071 -2.674 -0.056 -1.435 -5.629 -1.345 -5.419 -1.603" Properties=species:S:1:pos:R:3 pbc="T T T"
Pr -4.834 -5.944 -7.429
Y 0.000 0.000 0.000
Nd -1.611 -1.981 -2.476
Pm -3.223 -3.962 -4.953
```

Properties
As for the mass density: 6.22 Mg/m³. The calculation puts the energy relative to the lowest polymorph listed for this composition at 10.1 kJ/mol of atoms.